No. 1
VASP calculation (GGA-PBE) on a relaxed PmDy3In2 crystal.

The structure in extended XYZ format:
```
6
Lattice="3.436 0.000 0.000 0.000 5.592 0.000 -1.718 -2.796 9.434" Properties=species:S:1:pos:R:3 pbc="T T T"
Dy 0.000 2.796 0.000
Dy 0.000 0.000 3.589
Dy 1.718 2.796 5.845
In 0.000 0.000 6.733
In 1.718 2.796 2.701
Pm 0.000 0.000 0.000
```

Summary:
ΔE_f, eV/atom: 0.084
Symmetry: No. 71
Total DFT energy (no corrections), eV per atom: -3.921
Excess energy over the best structure of this formula in the dataset, meV per atom: 440

=====

No. 2
VASP calculation (GGA-PBE) on a relaxed PrNd3Er5 crystal.

The structure in extended XYZ format:
```
18
Lattice="-6.121 -1.863 -7.104 -8.631 -1.392 3.869 -10.013 5.562 -2.529" Properties=species:S:1:pos:R:3 pbc="T T T"
Nd -11.374 2.429 -2.706
Nd -5.006 2.781 -1.265
Nd -13.391 -0.121 -3.059
Nd -18.429 2.207 -4.311
Nd 0.000 0.000 0.000
Nd -6.336 0.101 -1.454
Pr -16.464 -0.476 -3.746
Pr -8.301 2.784 -2.019
Er -7.980 -1.514 1.020
Er -11.920 -0.466 0.163
Er -10.674 -0.699 -5.283
Er -21.648 2.694 -5.068
Er -6.773 -1.740 -4.256
Er -9.507 -0.381 -2.159
Er -12.845 2.773 -5.928
Er -15.259 2.688 -3.606
Er -14.091 3.007 -0.482
Er -3.117 -0.386 -0.697
```

Summary:
ΔE_f, eV/atom: 0.508
Symmetry: No. 12
Total DFT energy (no corrections), eV per atom: -4.147

=====

No. 3
VASP calculation (GGA-PBE) on a relaxed KRbP2 crystal.

The structure in extended XYZ format:
```
4
Lattice="-4.828 2.381 1.212 -1.453 4.712 -2.478 -4.078 0.019 -3.718" Properties=species:S:1:pos:R:3 pbc="T T T"
P -7.769 5.333 -3.738
P -2.590 1.778 -1.246
K 0.000 0.000 0.000
Rb -5.179 3.555 -2.492
```

Summary:
ΔE_f, eV/atom: 0.472
Symmetry: No. 225
Total DFT energy (no corrections), eV per atom: -2.749
Excess energy over the best structure of this formula in the dataset, meV per atom: 108

=====

No. 4
VASP calculation (GGA-PBE) on a relaxed Li2BiCl8 crystal.

The structure in extended XYZ format:
```
11
Lattice="-0.793 5.891 3.040 -6.622 -0.566 -0.632 3.392 -5.913 5.012" Properties=species:S:1:pos:R:3 pbc="T T T"
Cl -2.488 -1.882 4.997
Cl -4.940 3.739 3.528
Cl 2.002 -3.124 4.576
Cl -2.621 0.091 1.738
Cl -5.809 0.929 2.014
Cl 0.404 -0.525 5.854
Cl -0.891 -4.481 3.719
Cl -1.752 2.901 3.252
Bi -3.708 2.662 1.204
Li -0.555 1.320 4.628
Li -3.469 -1.908 2.792
```

Summary:
Symmetry: No. 97
Total DFT energy (no corrections), eV per atom: -2.762
ΔE_f (raw), eV/atom: -0.718

=====

No. 5
VASP calculation (GGA-PBE) on a relaxed Li2TaS4 crystal.

The structure in extended XYZ format:
```
14
Lattice="-2.246 -1.218 2.374 5.546 -0.809 4.830 -1.627 9.862 3.520" Properties=species:S:1:pos:R:3 pbc="T T T"
Li -0.165 1.642 3.247
Li 2.602 1.269 5.674
Li 1.839 6.193 7.477
Li -0.929 6.566 5.051
Ta -0.814 4.931 1.760
Ta 2.773 -0.405 2.415
S 2.949 -1.189 4.741
S -0.633 4.118 4.075
S 5.085 1.863 5.765
S -3.412 5.972 4.959
S 2.379 1.860 3.205
S 1.540 7.192 5.146
S -1.276 9.024 5.984
S 2.306 3.716 6.649
```

Summary:
Symmetry: No. 55
Total DFT energy (no corrections), eV per atom: -5.520
Excess energy over the best structure of this formula in the dataset, meV per atom: 22
ΔE_f (raw), eV/atom: -0.922

=====

No. 6
VASP calculation (GGA-PBE) on a relaxed K6RbHg crystal.

The structure in extended XYZ format:
```
8
Lattice="-2.774 -2.174 3.214 7.552 -6.873 1.869 3.798 6.158 7.444" Properties=species:S:1:pos:R:3 pbc="T T T"
K 6.174 -2.088 3.916
K 1.422 -2.834 2.849
K 5.873 -6.946 3.909
K 8.076 -3.253 8.309
K 2.261 1.500 2.966
K 8.126 1.130 7.778
Hg 4.254 4.577 6.768
Rb 3.669 0.705 7.183
```

Summary:
ΔE_f, eV/atom: -0.040
Symmetry: No. 38
Total DFT energy (no corrections), eV per atom: -1.022
Excess energy over the best structure of this formula in the dataset, meV per atom: 0

=====

No. 7
VASP calculation (GGA-PBE) on a relaxed GdFeIr crystal.

The structure in extended XYZ format:
```
3
Lattice="4.103 0.000 0.000 0.000 4.096 0.000 0.000 -2.048 3.547" Properties=species:S:1:pos:R:3 pbc="T T T"
Ir 0.684 0.000 0.000
Fe 0.684 2.048 1.182
Gd 2.736 0.000 2.365
```

Summary:
ΔE_f, eV/atom: -0.383
Symmetry: No. 187
Total DFT energy (no corrections), eV per atom: -10.851

=====

No. 8
VASP calculation (GGA-PBE) on a relaxed LaAlZnCu crystal.

The structure in extended XYZ format:
```
4
Lattice="4.821 0.000 0.000 2.410 4.175 0.000 2.410 1.392 3.936" Properties=species:S:1:pos:R:3 pbc="T T T"
La 2.410 1.392 0.984
Zn 4.821 2.783 1.968
Cu 0.000 0.000 0.000
Al 7.231 4.175 2.952
```

Summary:
ΔE_f, eV/atom: -0.291
Symmetry: No. 216
Total DFT energy (no corrections), eV per atom: -3.801

=====

No. 9
VASP calculation (GGA-PBE) on a relaxed La2Tb2Y7 crystal.

The structure in extended XYZ format:
```
11
Lattice="-4.041 6.110 -3.715 -0.949 -2.742 -6.312 -6.511 -2.404 0.292" Properties=species:S:1:pos:R:3 pbc="T T T"
Y -4.222 1.895 -3.652
Y -7.538 1.269 -8.677
Y -9.765 1.405 -6.032
Y -7.278 -0.931 -6.082
Y -1.735 -0.441 -3.703
Y 0.000 0.000 0.000
Y -3.963 -0.306 -1.058
La -4.092 0.381 -6.836
La -7.408 0.582 -2.898
Tb -4.866 -1.745 -4.009
Tb -6.635 2.709 -5.726
```

Summary:
ΔE_f, eV/atom: 0.170
Symmetry: No. 12
Total DFT energy (no corrections), eV per atom: -5.682
Excess energy over the best structure of this formula in the dataset, meV per atom: 9

=====

No. 10
VASP calculation (GGA-PBE) on a relaxed Y2RhAu crystal.

The structure in extended XYZ format:
```
4
Lattice="5.615 0.028 0.007 4.364 3.533 0.007 -0.005 -0.002 4.617" Properties=species:S:1:pos:R:3 pbc="T T T"
Y 0.174 0.062 0.578
Y 7.361 2.627 2.897
Au 4.576 1.633 2.892
Rh 2.848 1.016 0.581
```

Summary:
ΔE_f, eV/atom: -0.848
Symmetry: No. 38
Total DFT energy (no corrections), eV per atom: -6.737

=====

No. 11
VASP calculation (GGA-PBE) on a relaxed As2Pt2C crystal.

The structure in extended XYZ format:
```
10
Lattice="-2.852 4.854 -0.590 -4.615 -2.898 -1.530 -1.424 -0.255 4.781" Properties=species:S:1:pos:R:3 pbc="T T T"
As -4.814 -0.792 -1.477
As -2.018 -0.175 -0.611
As -2.653 2.748 -0.644
As -5.449 2.131 -1.510
Pt -3.458 2.645 1.720
Pt -2.708 -0.206 1.792
Pt -5.433 -0.945 0.940
Pt -6.183 1.907 0.869
C -3.734 0.978 -1.060
C 0.000 0.000 0.000
```

Summary:
ΔE_f, eV/atom: 0.873
Symmetry: No. 127
Total DFT energy (no corrections), eV per atom: -5.248
Excess energy over the best structure of this formula in the dataset, meV per atom: 0

=====

No. 12
VASP calculation (GGA-PBE) on a relaxed Dy4TePbSe2 crystal.

The structure in extended XYZ format:
```
8
Lattice="-3.770 0.912 1.707 -2.828 -6.107 -2.982 0.777 -5.597 4.708" Properties=species:S:1:pos:R:3 pbc="T T T"
Se 0.777 -5.597 4.708
Se -1.496 -2.342 3.207
Dy -1.587 -8.869 1.237
Dy -4.235 -1.922 2.196
Dy -1.937 -5.212 3.768
Dy -3.884 -5.579 -0.336
Pb -3.299 -2.597 -0.638
Te -1.026 -5.852 0.863
```

Summary:
Symmetry: No. 10
Total DFT energy (no corrections), eV per atom: -5.360
ΔE_f (raw), eV/atom: -1.332